PBE KSn2I, relaxed; formation energy without anion corrections = 0.232 eV/atom; E above lowest polymorph = 228 meV/atom; total energy = -9.7 eV for the cell shown; crystal system = cubic
1.0
0.000 4.097 4.097
4.097 0.000 4.097
4.097 4.097 0.000
K Sn I
1 2 1
Cartesian
0.000 0.000 0.000
2.049 2.049 2.049
6.146 6.146 6.146
4.097 4.097 4.097